## RbLiLa3 (PBE)

Data for RbLiLa3 after structural relaxation.

Computed properties:
Energy of formation: 0.567 eV/atom
Density of states at the Fermi level: 9.9 states/eV/cell
E above lowest polymorph: 0.000 eV per atom

```
RbLiLa3
1.0
5.9088 0.0000 0.0000
0.0000 5.9088 0.0000
0.0000 0.0000 5.9088
Rb Li La
1 1 3
direct
0.0000 0.0000 0.0000 Rb
0.5000 0.5000 0.5000 Li
0.0000 0.5000 0.5000 La
0.5000 0.0000 0.5000 La
0.5000 0.5000 0.0000 La
```